This record from the Alexandria database describes an optimized crystal structure of RbNaCd2Sb2. The functional is PBE.

a = 4.907 Å, b = 4.907 Å, c = 9.277 Å
α = 90.00°, β = 90.00°, γ = 120.00°
Atoms (fractional coordinates):
Rb 0.000 0.000 0.000
Na 0.000 0.000 0.500
Cd 0.333 0.667 0.345
Cd 0.667 0.333 0.655
Sb 0.333 0.667 0.720
Sb 0.667 0.333 0.280

Summary:
E, eV per atom: -2.42
D(E_F), states/eV/atom: 0.146
Formation energy without anion corrections, eV per atom: -0.3555
ρ, kg/m3: 4950